{
  "formula": "SrTaCu2Br",
  "functional": "GGA-PBEsol",
  "state": "optimized geometry",
  "lattice_angstrom": [[4.791, 0.000, 0.000], [0.000, 4.830, 0.000], [0.000, 0.000, 4.830]],
  "species": ["Ta", "Cu", "Sr", "Br", "Cu"],
  "frac_coords": [[0.500, 0.000, 0.000], [0.000, 0.000, 0.500], [0.500, 0.500, 0.500], [0.000, 0.000, 0.000], [0.000, 0.500, 0.000]],
  "space_group": "No. 123",
  "total_energy_ev_per_atom": -3.952
}

***

{
  "formula": "Zr2CdAu",
  "functional": "GGA-PBEsol",
  "state": "optimized geometry",
  "lattice_angstrom": [[-0.186, 0.679, -2.953], [-0.522, -4.116, -0.913], [-5.995, 0.643, 0.527]],
  "species": ["Cd", "Zr", "Zr", "Au"],
  "frac_coords": [[0.500, 0.500, 0.500], [0.000, 0.000, 0.243], [0.000, 0.000, 0.757], [0.500, 0.500, 0.000]],
  "space_group": "No. 47",
  "formation_enthalpy_0k_ev_per_atom": -0.33
}

***

{
  "formula": "LiTaCu2",
  "functional": "GGA-PBEsol",
  "state": "optimized geometry",
  "lattice_angstrom": [[-0.970, 2.099, 1.042], [-0.621, -3.227, 2.836], [4.746, 1.333, 1.735]],
  "species": ["Cu", "Ta", "Li", "Cu"],
  "frac_coords": [[0.749, 0.498, 0.773], [0.000, 0.000, 0.500], [0.500, 0.000, 0.000], [0.251, 0.502, 0.227]],
  "space_group": "No. 12",
  "formation_enthalpy_0k_ev_per_atom": 0.32
}

***

{
  "formula": "MnCoP",
  "functional": "GGA-PBEsol",
  "state": "optimized geometry",
  "lattice_angstrom": [[3.413, 0.000, 0.000], [0.000, 5.768, 0.000], [0.000, 0.000, 6.593]],
  "species": ["Mn", "P", "Co", "Mn", "Mn", "P", "Co", "Co", "Co", "Mn", "P", "P"],
  "frac_coords": [[0.750, 0.472, 0.332], [0.250, 0.265, 0.126], [0.250, 0.143, 0.436], [0.250, 0.028, 0.832], [0.250, 0.528, 0.668], [0.750, 0.235, 0.626], [0.750, 0.857, 0.564], [0.250, 0.643, 0.064], [0.750, 0.357, 0.936], [0.750, 0.972, 0.168], [0.250, 0.765, 0.374], [0.750, 0.735, 0.874]],
  "space_group": "No. 62",
  "formation_enthalpy_0k_ev_per_atom": -0.69
}